No. 1
DFT (PBE) results for a relaxed Cs2Cu2I5 crystal.

Calculated values
energy relative to the elements, uncorrected	-0.706	eV/atom
DOS at the Fermi energy	0.406	states/eV per atom
energy above the lowest structure with this stoichiometry	33	meV per atom

Cell: 12.178 5.474 5.474 Å, 90.00 90.00 90.00°
Atoms (fractional coordinates):
Cs: 0.000 0.000 0.000
Cs: 0.500 0.000 0.000
Cu: 0.227 0.499 0.499
Cu: 0.773 0.499 0.499
I: 0.000 0.500 0.500
I: 0.270 0.500 0.999
I: 0.270 0.999 0.500
I: 0.730 0.500 0.999
I: 0.730 0.999 0.500

No. 2
DFT (PBE) results for a relaxed Cs3Cu2I8 crystal.

Calculated values
energy relative to the elements, uncorrected	-0.733	eV/atom
DOS at the Fermi energy	0.819	states/eV per atom

Cell: 12.199 12.199 12.199 Å, 37.26 37.26 37.26°
Atoms (fractional coordinates):
Cs: 0.000 0.000 0.000
Cs: 0.211 0.211 0.211
Cs: 0.789 0.789 0.789
Cu: 0.401 0.401 0.401
Cu: 0.599 0.599 0.599
I: 0.223 0.736 0.736
I: 0.264 0.264 0.777
I: 0.264 0.777 0.264
I: 0.326 0.326 0.326
I: 0.674 0.674 0.674
I: 0.736 0.223 0.736
I: 0.736 0.736 0.223
I: 0.777 0.264 0.264

No. 3
DFT (PBE) results for a relaxed Cs2Cu3I8 crystal.

Calculated values
energy relative to the elements, uncorrected	-0.506	eV/atom
DOS at the Fermi energy	0.688	states/eV per atom

Cell: 9.484 9.484 7.977 Å, 106.68 106.68 59.03°
Atoms (fractional coordinates):
Cs: 0.223 0.223 0.128
Cs: 0.777 0.777 0.872
Cu: 0.181 0.819 0.500
Cu: 0.500 0.500 0.000
Cu: 0.819 0.181 0.500
I: 0.125 0.125 0.513
I: 0.222 0.656 0.186
I: 0.344 0.778 0.814
I: 0.345 0.345 0.764
I: 0.655 0.655 0.236
I: 0.656 0.222 0.186
I: 0.778 0.344 0.814
I: 0.875 0.875 0.487

No. 4
DFT (PBE) results for a relaxed Cs2CuI3 crystal.

Calculated values
energy relative to the elements, uncorrected	-1.080	eV/atom
DOS at the Fermi energy	0.000	states/eV per atom
energy above the lowest structure with this stoichiometry	0	meV per atom

Cell: 7.942 7.942 10.697 Å, 110.50 110.50 71.79°
Atoms (fractional coordinates):
Cs: 0.054 0.638 0.845
Cs: 0.362 0.946 0.655
Cs: 0.638 0.054 0.345
Cs: 0.946 0.362 0.155
Cu: 0.407 0.593 0.250
Cu: 0.593 0.407 0.750
I: 0.133 0.867 0.250
I: 0.297 0.401 0.553
I: 0.401 0.297 0.053
I: 0.599 0.703 0.947
I: 0.703 0.599 0.447
I: 0.867 0.133 0.750

No. 5
DFT (PBE) results for a relaxed Cs2CuI7 crystal.

Calculated values
energy relative to the elements, uncorrected	-0.635	eV/atom
DOS at the Fermi energy	0.000	states/eV per atom

Cell: 8.776 8.776 8.776 Å, 121.40 121.40 87.60°
Atoms (fractional coordinates):
Cs: 0.250 0.750 0.500
Cs: 0.750 0.250 0.500
Cu: 0.000 0.000 0.000
I: 0.198 0.198 0.000
I: 0.252 0.252 0.504
I: 0.252 0.748 0.000
I: 0.500 0.500 0.000
I: 0.748 0.252 0.000
I: 0.748 0.748 0.496
I: 0.802 0.802 0.000

No. 6
DFT (PBE) results for a relaxed CsCu2I crystal.

Calculated values
energy relative to the elements, uncorrected	0.417	eV/atom
DOS at the Fermi energy	0.427	states/eV per atom
energy above the lowest structure with this stoichiometry	0	meV per atom

Cell: 8.720 8.720 7.319 Å, 90.00 90.00 90.00°
Atoms (fractional coordinates):
Cs: 0.000 0.000 0.000
Cs: 0.000 0.500 0.250
Cs: 0.500 0.000 0.750
Cs: 0.500 0.500 0.500
Cu: 0.155 0.750 0.625
Cu: 0.250 0.155 0.375
Cu: 0.250 0.345 0.875
Cu: 0.345 0.750 0.125
Cu: 0.655 0.250 0.125
Cu: 0.750 0.655 0.875
Cu: 0.750 0.845 0.375
Cu: 0.845 0.250 0.625
I: 0.000 0.000 0.500
I: 0.000 0.500 0.750
I: 0.500 0.000 0.250
I: 0.500 0.500 0.000

No. 7
DFT (PBE) results for a relaxed Cs2Cu2I5 crystal.

Calculated values
energy relative to the elements, uncorrected	-0.739	eV/atom
DOS at the Fermi energy	0.314	states/eV per atom
energy above the lowest structure with this stoichiometry	0	meV per atom

Cell: 7.782 7.782 9.313 Å, 96.51 96.51 42.76°
Atoms (fractional coordinates):
Cs: 0.088 0.088 0.288
Cs: 0.912 0.912 0.712
Cu: 0.330 0.330 0.117
Cu: 0.670 0.670 0.883
I: 0.200 0.200 0.898
I: 0.366 0.366 0.395
I: 0.500 0.500 0.000
I: 0.634 0.634 0.605
I: 0.800 0.800 0.102

No. 8
DFT (PBE) results for a relaxed CsCu4I7 crystal.

Calculated values
energy relative to the elements, uncorrected	-0.395	eV/atom
DOS at the Fermi energy	1.032	states/eV per atom

Cell: 17.068 7.198 7.022 Å, 90.00 90.00 90.00°
Atoms (fractional coordinates):
Cs: 0.000 0.169 0.000
Cs: 0.500 0.831 0.500
Cu: 0.124 0.664 0.630
Cu: 0.250 0.173 0.619
Cu: 0.250 0.827 0.119
Cu: 0.376 0.336 0.130
Cu: 0.624 0.336 0.130
Cu: 0.750 0.173 0.619
Cu: 0.750 0.827 0.119
Cu: 0.876 0.664 0.630
I: 0.000 0.833 0.504
I: 0.121 0.325 0.511
I: 0.123 0.679 0.998
I: 0.248 0.831 0.493
I: 0.252 0.169 0.993
I: 0.377 0.321 0.498
I: 0.379 0.675 0.011
I: 0.500 0.167 0.004
I: 0.621 0.675 0.011
I: 0.623 0.321 0.498
I: 0.748 0.169 0.993
I: 0.752 0.831 0.493
I: 0.877 0.679 0.998
I: 0.879 0.325 0.511

> Which of these has the highest DOS at the Fermi energy?

CsCu4I7

What did the first record say?
DFT (PBE) results for a relaxed Cs2Cu2I5 crystal.

Calculated values
energy relative to the elements, uncorrected	-0.706	eV/atom
DOS at the Fermi energy	0.406	states/eV per atom
energy above the lowest structure with this stoichiometry	33	meV per atom

Cell: 12.178 5.474 5.474 Å, 90.00 90.00 90.00°
Atoms (fractional coordinates):
Cs: 0.000 0.000 0.000
Cs: 0.500 0.000 0.000
Cu: 0.227 0.499 0.499
Cu: 0.773 0.499 0.499
I: 0.000 0.500 0.500
I: 0.270 0.500 0.999
I: 0.270 0.999 0.500
I: 0.730 0.500 0.999
I: 0.730 0.999 0.500

> Number 2 is which compound?

Cs3Cu2I8